# 1
## Zn12Cd2Au7 (PBE)

Data for a geometry-optimized Zn12Cd2Au7 structure.

Structure (POSCAR):
```
Zn12Cd2Au7
1.0
4.2538 0.0000 0.0000
0.0000 8.6974 -5.0214
0.0000 0.0000 10.0429
Zn Cd Au
12 2 7
Cartesian
2.1269 8.3416 1.7171
2.1269 6.0136 -3.0611
2.1269 3.0395 1.3440
2.1269 2.4841 6.7331
2.1269 4.5891 4.5250
2.1269 1.6243 3.8061
0.0000 0.2336 4.9628
0.0000 4.1811 7.3592
0.0000 4.2827 2.7423
0.0000 7.1064 2.9472
0.0000 7.6966 -2.6065
0.0000 2.5918 -0.3408
2.1269 0.0000 0.0000
0.0000 5.7982 0.0000
0.0000 2.8991 5.0214
0.0000 1.0053 7.6181
0.0000 6.0948 5.3631
0.0000 1.5972 2.0830
2.1269 5.6776 2.0112
2.1269 7.6003 -0.9011
2.1269 4.1168 -1.1101
```

Output
The size of the total moment comes out at 0.00 μB per atom. The formation energy from the elements comes out at -3.0 kcal/mol of atoms. Its space group is No. 174.

# 2
## ZnCdAu2 (PBE)

Data for a geometry-optimized ZnCdAu2 structure.

Structure (POSCAR):
```
ZnCdAu2
1.0
-2.3130 -0.6256 1.7434
-1.2096 -3.0190 -2.6883
3.2262 -3.8680 2.8922
Zn Au Cd
1 2 1
Cartesian
0.7583 -4.8432 1.7863
3.1325 -3.7556 2.8081
-0.9187 -2.8325 0.2829
1.5709 -1.8834 1.4083
```

Output
The size of the total moment comes out at 0.00 μB per atom. The formation energy from the elements comes out at -2.5 kcal/mol of atoms. Its space group is No. 25.

# 3
## ZnCd2Au (PBE)

Data for a geometry-optimized ZnCd2Au structure.

Structure (POSCAR):
```
ZnCd2Au
1.0
-2.8045 -2.9942 -2.2690
3.7284 0.1745 -4.8387
0.8534 -4.1557 4.4291
Zn Cd Au
2 4 2
Cartesian
1.2317 -2.9010 -4.9592
0.5457 -4.0745 2.2806
-0.8281 -2.8347 -2.5007
2.6055 -4.1407 -0.1779
-0.2204 -5.0062 -0.3862
1.9978 -1.9692 -2.2924
1.6067 -4.8254 -2.8832
0.1707 -2.1500 0.2046
```

Output
The size of the total moment comes out at 0.00 μB per atom. The formation energy from the elements comes out at -2.2 kcal/mol of atoms. Its space group is No. 11.

# 4
## Zn2Cd2Au3 (PBE)

Data for a geometry-optimized Zn2Cd2Au3 structure.

Structure (POSCAR):
```
Zn2Cd2Au3
1.0
-2.1530 3.1802 -2.4227
0.8073 -3.9307 -1.8483
-5.3286 -3.5709 5.2648
Zn Cd Au
2 2 3
Cartesian
-1.9825 0.4404 -1.7989
-4.6918 -4.7618 2.7926
-2.5388 -1.1021 1.2377
-4.1355 -3.2193 -0.2440
0.0000 0.0000 0.0000
-5.0296 -2.1037 2.2735
-1.6447 -2.2177 -1.2798
```

Output
The size of the total moment comes out at 0.00 μB per atom. The formation energy from the elements comes out at -4.2 kcal/mol of atoms. Its space group is No. 12. The calculation puts the distance to the lowest polymorph of the same formula at 0.000 eV/atom.

# 5
## Zn3CdAu2 (PBE)

Data for a geometry-optimized Zn3CdAu2 structure.

Structure (POSCAR):
```
Zn3CdAu2
1.0
4.3312 0.0000 0.0000
-2.1656 6.7923 -0.9393
0.0000 -4.0042 7.7654
Zn Cd Au
6 2 4
Cartesian
0.0000 2.1383 2.7676
2.1656 3.8041 3.9438
2.1656 -1.5240 6.1776
0.0000 4.3121 0.6485
0.0000 -1.0160 2.8824
2.1656 0.6498 4.0586
2.1656 1.3030 6.8196
0.0000 1.4851 0.0066
0.0000 2.6804 5.2912
2.1656 0.1077 1.5350
2.1656 3.0533 1.3935
0.0000 -0.2652 5.4326
```

Output
The size of the total moment comes out at 0.00 μB per atom. The formation energy from the elements comes out at -3.2 kcal/mol of atoms. Its space group is No. 12. The calculation puts the distance to the lowest polymorph of the same formula at 0.000 eV/atom.

# 6
## Zn2CdAu5 (PBE)

Data for a geometry-optimized Zn2CdAu5 structure.

Structure (POSCAR):
```
Zn2CdAu5
1.0
-0.4269 5.7138 -6.5098
-7.1857 1.2518 1.5700
2.2957 6.3628 5.4343
Zn Cd Au
8 4 20
Cartesian
-5.3909 6.2253 5.8177
0.5009 1.3893 1.1865
-2.9465 2.4181 2.3157
-1.9434 5.1965 4.6885
0.8283 7.4578 -2.1550
-3.7003 2.0633 -0.8527
1.0405 4.6188 1.0795
-3.9124 4.9023 -4.0871
-2.1531 8.0650 1.4436
-3.1638 5.2634 -0.9491
-6.8937 5.5094 -0.4886
1.5768 7.8190 0.9831
-0.4020 9.4695 -0.5278
-5.1432 6.9148 -2.4592
-1.3223 3.2324 0.2367
-3.7662 7.0402 3.7393
-4.9149 3.8590 1.0223
-0.1737 6.4136 2.9537
-3.9946 10.0961 0.2578
-1.5506 6.2882 -3.2448
-0.0017 9.5827 2.6347
-5.3152 3.7457 -2.1402
-0.5745 6.3011 -0.2081
-4.7424 7.0273 0.7026
0.1736 6.7319 5.8974
-5.0635 0.8827 1.1069
-0.3233 3.4370 3.0380
-4.5667 4.1776 3.9663
-0.3245 4.3432 -4.9483
-2.5474 5.1779 1.9406
-0.1024 1.3706 -1.5615
-2.7695 8.1505 -1.4461
```

Output
The size of the total moment comes out at 0.00 μB per atom. The formation energy from the elements comes out at -3.7 kcal/mol of atoms. Its space group is No. 65. The calculation puts the distance to the lowest polymorph of the same formula at 0.000 eV/atom.

Question: Which value of formation energy from the elements does entry 6 give?
Answer: -3.7 kcal/mol of atoms